A geometry-optimized Tb2SmY3 structure. Source: the Alexandria database, functional PBE.

```
data_Tb2SmY3
_cell_length_a 17.8327
_cell_length_b 3.5185
_cell_length_c 14.2522
_cell_angle_alpha 90.00
_cell_angle_beta 117.42
_cell_angle_gamma 90.00
_symmetry_space_group_name_H-M 'C 1 2/m 1'
_symmetry_Int_Tables_number 12
loop_
_symmetry_equiv_pos_as_xyz
'x,y,z'
'-x,-y,-z'
'-x,y,-z'
'x,-y,z'
'x+1/2,y+1/2,z'
'-x+1/2,-y+1/2,-z'
'-x+1/2,y+1/2,-z'
'x+1/2,-y+1/2,z'
loop_
_atom_site_label
_atom_site_type_symbol
_atom_site_fract_x
_atom_site_fract_y
_atom_site_fract_z
Tb1 Tb 0.1575 0.0000 0.4681
Tb2 Tb 0.1815 0.5000 0.8838
Sm1 Sm 0.0620 0.0000 0.6445
Y1 Y 0.0389 0.5000 0.2120
Y2 Y 0.0998 0.0000 0.0262
Y3 Y 0.2393 0.0000 0.2938
```

- calculated formation energy (eV per atom) = 0.114
- spin magnetization (μB per formula unit) = 0.0
- E (eV per atom) = -5.45

A geometry-optimized Tb2Sm3Y7 structure. Source: the Alexandria database, functional PBE.

```
data_Tb2Sm3Y7
_cell_length_a 6.3754
_cell_length_b 3.5375
_cell_length_c 17.6036
_cell_angle_alpha 90.00
_cell_angle_beta 96.08
_cell_angle_gamma 90.00
_symmetry_space_group_name_H-M 'P 1 2/m 1'
_symmetry_Int_Tables_number 10
loop_
_symmetry_equiv_pos_as_xyz
'x,y,z'
'-x,-y,-z'
'-x,y,-z'
'x,-y,z'
loop_
_atom_site_label
_atom_site_type_symbol
_atom_site_fract_x
_atom_site_fract_y
_atom_site_fract_z
Tb1 Tb 0.0565 0.0000 0.1734
Sm1 Sm 0.4530 0.5000 0.8412
Sm2 Sm 0.5000 0.0000 0.5000
Y1 Y 0.0000 0.5000 0.5000
Y2 Y 0.2259 0.0000 0.6672
Y3 Y 0.2537 0.0000 0.9990
Y4 Y 0.2716 0.5000 0.3343
```

- calculated formation energy (eV per atom) = 0.083
- spin magnetization (μB per formula unit) = 0.0
- E (eV per atom) = -5.64

A geometry-optimized Tb3Sm7Y structure. Source: the Alexandria database, functional PBE.

```
data_Tb3Sm7Y
_cell_length_a 7.0780
_cell_length_b 5.6263
_cell_length_c 10.0078
_cell_angle_alpha 90.00
_cell_angle_beta 110.52
_cell_angle_gamma 90.00
_symmetry_space_group_name_H-M 'P 1 2/m 1'
_symmetry_Int_Tables_number 10
loop_
_symmetry_equiv_pos_as_xyz
'x,y,z'
'-x,-y,-z'
'-x,y,-z'
'x,-y,z'
loop_
_atom_site_label
_atom_site_type_symbol
_atom_site_fract_x
_atom_site_fract_y
_atom_site_fract_z
Tb1 Tb 0.0000 0.0000 0.0000
Tb2 Tb 0.2197 0.5000 0.5005
Sm1 Sm 0.0839 0.0000 0.6706
Sm2 Sm 0.1804 0.5000 0.8599
Sm3 Sm 0.3535 0.5000 0.2088
Sm4 Sm 0.5000 0.0000 0.5000
Y1 Y 0.5000 0.0000 0.0000
```

- calculated formation energy (eV per atom) = 0.123
- spin magnetization (μB per formula unit) = 0.0
- E (eV per atom) = -4.73

A geometry-optimized Tb5SmY6 structure. Source: the Alexandria database, functional PBE.

```
data_Tb5SmY6
_cell_length_a 6.1899
_cell_length_b 10.7099
_cell_length_c 11.8237
_cell_angle_alpha 90.00
_cell_angle_beta 99.98
_cell_angle_gamma 90.00
_symmetry_space_group_name_H-M 'C 1 2/m 1'
_symmetry_Int_Tables_number 12
loop_
_symmetry_equiv_pos_as_xyz
'x,y,z'
'-x,-y,-z'
'-x,y,-z'
'x,-y,z'
'x+1/2,y+1/2,z'
'-x+1/2,-y+1/2,-z'
'-x+1/2,y+1/2,-z'
'x+1/2,-y+1/2,z'
loop_
_atom_site_label
_atom_site_type_symbol
_atom_site_fract_x
_atom_site_fract_y
_atom_site_fract_z
Tb1 Tb 0.0000 0.0000 0.0000
Tb2 Tb 0.0000 0.1667 0.5000
Tb3 Tb 0.0000 0.3333 0.0000
Sm1 Sm 0.0000 0.5000 0.5000
Y1 Y 0.2492 0.0000 0.7504
Y2 Y 0.2502 0.1668 0.2494
```

- calculated formation energy (eV per atom) = 0.018
- spin magnetization (μB per formula unit) = 0.0
- E (eV per atom) = -5.54